(1)
# NaTl4Sn2

An optimized crystal structure of NaTl4Sn2 (PBE, Alexandria).

Crystal system: monoclinic
E_form: 0.08 eV/atom

Lattice parameters (Å, degrees): 8.9135 5.1547 10.0086 90.00 90.05 90.00
Space group C2/m (No. 12)
Unique sites:
Na (0.0000, 0.0000, 0.0000)
Tl (0.1662, 0.5000, 0.8929)
Tl (0.1677, 0.5000, 0.2492)
Sn (0.1664, 0.5000, 0.5636)


(2)
# Na5Tl8Sn

An optimized crystal structure of Na5Tl8Sn (PBE, Alexandria).

Crystal system: tetragonal
E_form: -0.04 eV/atom

Lattice parameters (Å, degrees): 9.3700 9.3700 9.6438 90.00 90.00 90.00
Space group I-4 (No. 82)
Unique sites:
Na (0.0000, 0.0000, 0.0000)
Na (0.1203, 0.2805, 0.6646)
Tl (0.0700, 0.1739, 0.3375)
Tl (0.0892, 0.3261, 0.9933)
Sn (0.0000, 0.5000, 0.2500)


(3)
# Na2TlSn2

An optimized crystal structure of Na2TlSn2 (PBE, Alexandria).

Crystal system: monoclinic
E_form: -0.12 eV/atom
Relative energy among the computed polymorphs: 7 meV/atom

Lattice parameters (Å, degrees): 11.2855 6.1961 9.0055 90.00 117.65 90.00
Space group C2/c (No. 15)
Unique sites:
Na (0.1947, 0.1363, 0.1496)
Tl (0.0000, 0.1650, 0.7500)
Sn (0.0957, 0.3605, 0.4422)


(4)
# NaTl2Sn

An optimized crystal structure of NaTl2Sn (PBE, Alexandria).

Crystal system: monoclinic
E_form: -0.07 eV/atom

Lattice parameters (Å, degrees): 10.6926 3.5752 6.0752 90.00 100.76 90.00
Space group C2/m (No. 12)
Unique sites:
Na (0.0000, 0.0000, 0.0000)
Tl (0.2482, 0.0000, 0.7477)
Sn (0.0000, 0.5000, 0.5000)


no.,DFT total energy (Ry per atom),N(E_F) (states/eV/atom)
1,-0.19168,0.4252
2,-0.15822,0.4862
3,-0.19973,0.4871
4,-0.19015,0.3938